No. 1
Density functional theory data (GGA-PBE) for crystalline Tb2IrOsN2O2 at its relaxed geometry.

The structure in CIF format:
```
data_Tb2IrOsN2O2
_chemical_formula_sum 'Tb2 Ir1 Os1 N2 O2'
_cell_length_a 3.8366
_cell_length_b 3.8366
_cell_length_c 7.5563
_cell_angle_alpha 90.00
_cell_angle_beta 90.00
_cell_angle_gamma 90.00
_symmetry_space_group_name_H-M 'P 1'
_symmetry_Int_Tables_number 1
loop_
_symmetry_equiv_pos_as_xyz
'x,y,z'
loop_
_atom_site_label
_atom_site_type_symbol
_atom_site_fract_x
_atom_site_fract_y
_atom_site_fract_z
Tb1 Tb 0.0000 0.5000 0.1498
Tb2 Tb 0.5000 0.0000 0.8502
Ir1 Ir 0.0000 0.0000 0.5000
Os1 Os 0.5000 0.5000 0.5000
N1 N 0.0000 0.5000 0.6243
N2 N 0.5000 0.0000 0.3757
O1 O 0.0000 0.0000 0.0000
O2 O 0.5000 0.5000 0.0000
```

Output
Space-group type: P-4m2 (115)
ρ in g/cm³: 11.35
Electronic total energy in eV per atom: -8.225

***

No. 2
Density functional theory data (GGA-PBE) for crystalline PaIrNO at its relaxed geometry.

The structure in CIF format:
```
data_PaIrNO
_chemical_formula_sum 'Pa4 Ir4 N4 O4'
_cell_length_a 6.2494
_cell_length_b 7.0127
_cell_length_c 5.2149
_cell_angle_alpha 90.00
_cell_angle_beta 90.00
_cell_angle_gamma 90.00
_symmetry_space_group_name_H-M 'P 1'
_symmetry_Int_Tables_number 1
loop_
_symmetry_equiv_pos_as_xyz
'x,y,z'
loop_
_atom_site_label
_atom_site_type_symbol
_atom_site_fract_x
_atom_site_fract_y
_atom_site_fract_z
Pa1 Pa 0.0745 0.1881 0.0000
Pa2 Pa 0.4255 0.1881 0.5000
Pa3 Pa 0.5745 0.8119 0.0000
Pa4 Pa 0.9255 0.8119 0.5000
Ir1 Ir 0.1738 0.6711 0.0550
Ir2 Ir 0.3262 0.6711 0.5550
Ir3 Ir 0.6738 0.3289 0.0550
Ir4 Ir 0.8262 0.3289 0.5550
N1 N 0.0522 0.1146 0.4668
N2 N 0.4478 0.1146 0.9668
N3 N 0.5522 0.8854 0.4668
N4 N 0.9478 0.8854 0.9668
O1 O 0.2214 0.4125 0.6925
O2 O 0.2786 0.4125 0.1925
O3 O 0.7214 0.5875 0.6925
O4 O 0.7786 0.5875 0.1925
```

Output
Energy above the most stable polymorph in this dataset in meV/atom: 163.5
Space-group type: Pca2_1 (29)
ρ in g/cm³: 13.17
Electronic total energy in eV per atom: -8.514